Entry 1:
An optimized crystal structure of Be2CrPt. Source: Alexandria via LeMat-Bulk, functional PBE.

Magnetic moment   0.05 μB per atom
Energy of formation   -86.3 kJ/mol of formula units

POSCAR file:
```
Be2CrPt
1.0
2.694 0.000 0.000
0.000 2.694 0.000
0.000 0.000 5.922
Be Cr Pt
2 1 1
direct
0.000 0.000 0.000
0.500 0.500 0.186
0.000 0.000 0.429
0.500 0.500 0.751
```

Entry 2:
An optimized crystal structure of ScH2Rh. Source: Alexandria via LeMat-Bulk, functional PBE.

Magnetic moment   0.00 μB per atom
Distance to the lowest polymorph of the same formula   0.1350 eV/atom

POSCAR file:
```
ScH2Rh
1.0
3.470 0.000 0.000
-1.735 3.005 0.000
0.000 0.000 12.499
Sc H Rh
3 6 3
direct
0.000 0.000 0.000
0.333 0.667 0.667
0.667 0.333 0.333
0.000 0.000 0.367
0.000 0.000 0.633
0.333 0.667 0.033
0.333 0.667 0.300
0.667 0.333 0.700
0.667 0.333 0.967
0.000 0.000 0.500
0.333 0.667 0.167
0.667 0.333 0.833
```

Entry 3:
An optimized crystal structure of Pr2Er2Sc. Source: Alexandria via LeMat-Bulk, functional PBE.

Magnetic moment   0.00 μB per atom
Energy of formation   59.8 kJ/mol of formula units
Distance to the lowest polymorph of the same formula   0.0000 eV/atom

POSCAR file:
```
Pr2Er2Sc
1.0
4.632 -4.260 0.000
4.632 4.260 0.000
-4.549 0.000 8.037
Pr Er Sc
4 4 2
direct
0.070 0.705 0.844
0.295 0.930 0.656
0.705 0.070 0.344
0.930 0.295 0.156
0.305 0.365 0.543
0.365 0.305 0.043
0.635 0.695 0.957
0.695 0.635 0.457
0.180 0.820 0.250
0.820 0.180 0.750
```

Entry 4:
An optimized crystal structure of PmUS2O. Source: Alexandria via LeMat-Bulk, functional PBE.

Magnetic moment   0.54 μB per atom
ΔE_f (raw)   -2.199 eV/atom

POSCAR file:
```
PmUS2O
1.0
3.920 0.000 0.000
0.000 3.920 0.000
0.000 0.000 13.664
Pm U S O
2 2 4 2
direct
0.250 0.250 0.089
0.750 0.750 0.911
0.250 0.250 0.610
0.750 0.750 0.390
0.250 0.250 0.404
0.250 0.250 0.798
0.750 0.750 0.202
0.750 0.750 0.596
0.250 0.750 0.000
0.750 0.250 0.000
```

Entry 5:
An optimized crystal structure of Ir2WBr. Source: Alexandria via LeMat-Bulk, functional PBE.

Magnetic moment   0.00 μB per atom
Distance to the lowest polymorph of the same formula   0.5092 eV/atom
ΔE_f (raw)   0.761 eV/atom

POSCAR file:
```
Ir2WBr
1.0
2.825 0.000 0.000
0.000 4.764 0.000
0.000 0.000 9.819
Ir W Br
4 2 2
direct
0.000 0.000 0.233
0.000 0.000 0.767
0.500 0.500 0.267
0.500 0.500 0.733
0.000 0.500 0.500
0.500 0.000 0.000
0.000 0.500 0.000
0.500 0.000 0.500
```

Entry 6:
An optimized crystal structure of Dy2TmAg2. Source: Alexandria via LeMat-Bulk, functional PBE.

Magnetic moment   0.00 μB per atom
Energy of formation   -29.7 kJ/mol of formula units
Distance to the lowest polymorph of the same formula   0.1788 eV/atom

POSCAR file:
```
Dy2TmAg2
1.0
5.273 0.000 0.000
0.000 4.886 0.000
-1.201 0.000 10.793
Dy Tm Ag
4 2 4
direct
0.162 0.250 0.111
0.253 0.750 0.507
0.747 0.250 0.493
0.838 0.750 0.889
0.299 0.250 0.760
0.701 0.750 0.240
0.215 0.250 0.367
0.358 0.750 0.992
0.642 0.250 0.008
0.785 0.750 0.633
```

no.,final energy (eV/atom)
1,-6.003
2,-5.547
3,-4.879
4,-8.050
5,-7.326
6,-3.937